A relaxed Cr2HI crystal. Source: the Alexandria database, functional GGA-PBE.

Crystal system   tetragonal
Total energy   -42.9 eV/cell
Magnetization   3.0 μB/cell
Energy above the most stable polymorph in this dataset   0.00 eV/f.u.
Volume   55.00 Å³/f.u.
SG   I-42d

```
data_Cr2HI
_chemical_formula_sum 'Cr4 H2 I2'
_cell_length_a 4.6133
_cell_length_b 4.6133
_cell_length_c 6.1116
_cell_angle_alpha 67.83
_cell_angle_beta 67.83
_cell_angle_gamma 90.00
_symmetry_space_group_name_H-M 'P 1'
_symmetry_Int_Tables_number 1
loop_
_symmetry_equiv_pos_as_xyz
'x,y,z'
loop_
_atom_site_label
_atom_site_type_symbol
_atom_site_fract_x
_atom_site_fract_y
_atom_site_fract_z
H1 H 0.5000 0.5000 0.0000
H2 H 0.2500 0.7500 0.5000
Cr1 Cr 0.3750 0.5490 0.7500
Cr2 Cr 0.4510 0.1250 0.2500
Cr3 Cr 0.8750 0.7010 0.7500
Cr4 Cr 0.2990 0.6250 0.2500
I1 I 0.0000 0.0000 0.0000
I2 I 0.7500 0.2500 0.5000
```